This record from Alexandria via LeMat-Bulk describes an optimized crystal structure of Dy5Tm5Pb6. The functional is PBE.

Theoretical density ... 10.42 Mg/m³
Space-group type ... Amm2, No. 38
Energy of formation from the pure elements ... -0.51 eV/atom

Unit cell a=6.591 b=9.002 c=9.002 alpha=120.08 beta=90.00 gamma=90.00
Element x y z (fractional)
Dy 0.000 0.000 0.000
Dy 0.250 0.098 0.431
Dy 0.250 0.431 0.098
Dy 0.750 0.098 0.431
Dy 0.750 0.431 0.098
Tm 0.000 0.530 0.765
Tm 0.000 0.765 0.530
Tm 0.500 0.000 0.764
Tm 0.500 0.531 0.531
Tm 0.500 0.764 0.000
Pb 0.000 0.159 0.764
Pb 0.000 0.372 0.372
Pb 0.000 0.764 0.159
Pb 0.500 0.158 0.158
Pb 0.500 0.371 0.765
Pb 0.500 0.765 0.371

This record from Alexandria via LeMat-Bulk describes an optimized crystal structure of Dy2TmPb3. The functional is PBE.

Theoretical density ... 9.59 Mg/m³
Space-group type ... Cmc2_1, No. 36
Energy of formation from the pure elements ... -0.14 eV/atom

Unit cell a=7.879 b=7.879 c=6.237 alpha=90.00 beta=90.00 gamma=93.31
Element x y z (fractional)
Dy 0.014 0.321 0.000
Dy 0.321 0.014 0.500
Dy 0.679 0.986 0.000
Dy 0.986 0.679 0.500
Tm 0.346 0.654 0.002
Tm 0.654 0.346 0.502
Pb 0.047 0.282 0.500
Pb 0.282 0.047 0.000
Pb 0.384 0.616 0.502
Pb 0.616 0.384 0.002
Pb 0.718 0.953 0.500
Pb 0.953 0.718 0.000

This record from Alexandria via LeMat-Bulk describes an optimized crystal structure of Dy8Tm6Pb. The functional is PBE.

Theoretical density ... 8.73 Mg/m³
Space-group type ... P-3, No. 147
Energy of formation from the pure elements ... 0.19 eV/atom

Unit cell a=9.078 b=9.078 c=6.720 alpha=90.00 beta=90.00 gamma=120.00
Element x y z (fractional)
Dy 0.014 0.327 0.115
Dy 0.312 0.986 0.115
Dy 0.327 0.312 0.885
Dy 0.333 0.667 0.803
Dy 0.667 0.333 0.197
Dy 0.673 0.688 0.115
Dy 0.688 0.014 0.885
Dy 0.986 0.673 0.885
Tm 0.076 0.679 0.394
Tm 0.321 0.397 0.394
Tm 0.397 0.076 0.606
Tm 0.603 0.924 0.394
Tm 0.679 0.603 0.606
Tm 0.924 0.321 0.606
Pb 0.000 0.000 0.500

This record from Alexandria via LeMat-Bulk describes an optimized crystal structure of DyTmPb2. The functional is PBE.

Theoretical density ... 9.67 Mg/m³
Space-group type ... R3m, No. 160
Energy of formation from the pure elements ... -0.31 eV/atom

Unit cell a=7.096 b=7.096 c=7.096 alpha=39.14 beta=39.14 gamma=39.14
Element x y z (fractional)
Dy 0.000 0.000 0.000
Tm 0.822 0.822 0.822
Pb 0.414 0.414 0.414
Pb 0.578 0.578 0.578

This record from Alexandria via LeMat-Bulk describes an optimized crystal structure of Dy2Tm2Pb. The functional is PBE.

Theoretical density ... 9.03 Mg/m³
Space-group type ... I4/mmm, No. 139
Energy of formation from the pure elements ... 0.27 eV/atom

Unit cell a=8.958 b=8.958 c=8.958 alpha=151.81 beta=151.81 gamma=40.29
Element x y z (fractional)
Dy 0.250 0.750 0.500
Dy 0.750 0.250 0.500
Tm 0.089 0.089 0.000
Tm 0.911 0.911 0.000
Pb 0.500 0.500 0.000

This record from Alexandria via LeMat-Bulk describes an optimized crystal structure of DyTm2Pb5. The functional is PBE.

Theoretical density ... 11.24 Mg/m³
Space-group type ... I4mm, No. 107
Energy of formation from the pure elements ... -0.30 eV/atom

Unit cell a=6.671 b=6.671 c=6.671 alpha=106.83 beta=106.83 gamma=114.90
Element x y z (fractional)
Dy 0.000 0.000 0.000
Tm 0.001 0.501 0.500
Tm 0.501 0.001 0.500
Pb 0.001 0.001 0.500
Pb 0.001 0.500 0.000
Pb 0.500 0.001 0.000
Pb 0.500 0.500 0.500
Pb 0.501 0.501 0.000

What magnetic moment values result from the calculations? In sequence: 0.0000 0.0000 0.0000 0.0000 0.0000 0.0000 μB/atom.